Run w
! GaRuN2F, optimized geometry, DFT PBE-GGA; values from VASP
! Density of states at the Fermi level ... 3.06 states/eV/f.u.
! M_tot ... 0.05 μB per atom
! Space-group type ... P4/mmm (123)
&SYSTEM
  ibrav = 0, nat = 5, ntyp = 4
/
ATOMIC_SPECIES
Ga 69.72 Ga.upf
Ru 101.07 Ru.upf
N 14.01 N.upf
F 19.00 F.upf
ATOMIC_POSITIONS crystal
Ga 0.000 0.000 0.000
Ru 0.500 0.500 0.500
N 0.000 0.500 0.500
N 0.500 0.000 0.500
F 0.500 0.500 0.000
CELL_PARAMETERS angstrom
3.843 0.000 0.000
0.000 3.843 0.000
0.000 0.000 4.392

Run x
! GaRuN2F, optimized geometry, DFT PBE-GGA; values from VASP
! Density of states at the Fermi level ... 4.69 states/eV/f.u.
! M_tot ... 0.54 μB per atom
! Space-group type ... P4/mmm (123)
&SYSTEM
  ibrav = 0, nat = 5, ntyp = 4
/
ATOMIC_SPECIES
Ga 69.72 Ga.upf
Ru 101.07 Ru.upf
N 14.01 N.upf
F 19.00 F.upf
ATOMIC_POSITIONS crystal
Ga 0.000 0.000 0.000
Ru 0.500 0.500 0.500
N 0.000 0.500 0.000
N 0.500 0.000 0.000
F 0.000 0.000 0.500
CELL_PARAMETERS angstrom
3.918 0.000 0.000
0.000 3.918 0.000
0.000 0.000 3.754

Verdict on stability: run w comes out on top.

Run w
! GaS2NF, optimized geometry, DFT PBE-GGA; values from VASP
! Density of states at the Fermi level ... 3.82 states/eV/f.u.
! M_tot ... 0.63 μB per atom
! Space-group type ... P4/mmm (123)
&SYSTEM
  ibrav = 0, nat = 5, ntyp = 4
/
ATOMIC_SPECIES
Ga 69.72 Ga.upf
S 32.06 S.upf
N 14.01 N.upf
F 19.00 F.upf
ATOMIC_POSITIONS crystal
Ga 0.000 0.000 0.000
S 0.000 0.500 0.000
S 0.500 0.000 0.000
N 0.000 0.000 0.500
F 0.500 0.500 0.500
CELL_PARAMETERS angstrom
4.944 0.000 0.000
0.000 4.944 0.000
0.000 0.000 3.675

Run x
! GaS2NF, optimized geometry, DFT PBE-GGA; values from VASP
! Density of states at the Fermi level ... 2.53 states/eV/f.u.
! M_tot ... 0.43 μB per atom
! Space-group type ... P4/mmm (123)
&SYSTEM
  ibrav = 0, nat = 5, ntyp = 4
/
ATOMIC_SPECIES
Ga 69.72 Ga.upf
S 32.06 S.upf
N 14.01 N.upf
F 19.00 F.upf
ATOMIC_POSITIONS crystal
Ga 0.000 0.000 0.000
S 0.000 0.500 0.500
S 0.500 0.000 0.500
N 0.500 0.500 0.000
F 0.500 0.500 0.500
CELL_PARAMETERS angstrom
4.518 0.000 0.000
0.000 4.518 0.000
0.000 0.000 4.071

Verdict on stability: run w comes out on top.

Run w
! GaSbNF2, optimized geometry, DFT PBE-GGA; values from VASP
! Density of states at the Fermi level ... 1.34 states/eV/f.u.
! M_tot ... 0.00 μB per atom
! Space-group type ... P4/mmm (123)
&SYSTEM
  ibrav = 0, nat = 5, ntyp = 4
/
ATOMIC_SPECIES
Ga 69.72 Ga.upf
Sb 121.76 Sb.upf
N 14.01 N.upf
F 19.00 F.upf
ATOMIC_POSITIONS crystal
Ga 0.000 0.000 0.000
Sb 0.500 0.500 0.500
N 0.000 0.000 0.500
F 0.000 0.500 0.000
F 0.500 0.000 0.000
CELL_PARAMETERS angstrom
4.165 0.000 0.000
0.000 4.165 0.000
0.000 0.000 3.795

Run x
! GaSbNF2, optimized geometry, DFT PBE-GGA; values from VASP
! Density of states at the Fermi level ... 2.07 states/eV/f.u.
! M_tot ... 0.00 μB per atom
! Space-group type ... P4/mmm (123)
&SYSTEM
  ibrav = 0, nat = 5, ntyp = 4
/
ATOMIC_SPECIES
Ga 69.72 Ga.upf
Sb 121.76 Sb.upf
N 14.01 N.upf
F 19.00 F.upf
ATOMIC_POSITIONS crystal
Ga 0.000 0.000 0.000
Sb 0.500 0.500 0.000
N 0.000 0.000 0.500
F 0.000 0.500 0.500
F 0.500 0.000 0.500
CELL_PARAMETERS angstrom
4.154 0.000 0.000
0.000 4.154 0.000
0.000 0.000 4.138

Run y
! GaSbNF2, optimized geometry, DFT PBE-GGA; values from VASP
! Density of states at the Fermi level ... 0.10 states/eV/f.u.
! M_tot ... 0.00 μB per atom
! Space-group type ... P4/mmm (123)
&SYSTEM
  ibrav = 0, nat = 5, ntyp = 4
/
ATOMIC_SPECIES
Ga 69.72 Ga.upf
Sb 121.76 Sb.upf
N 14.01 N.upf
F 19.00 F.upf
ATOMIC_POSITIONS crystal
Ga 0.000 0.000 0.000
Sb 0.500 0.500 0.500
N 0.500 0.500 0.000
F 0.000 0.500 0.500
F 0.500 0.000 0.500
CELL_PARAMETERS angstrom
4.560 0.000 0.000
0.000 4.560 0.000
0.000 0.000 4.060

Verdict on stability: run w comes out on top.

Run w
! GaSeNF2, optimized geometry, DFT PBE-GGA; values from VASP
! Density of states at the Fermi level ... 0.61 states/eV/f.u.
! M_tot ... 0.00 μB per atom
! Space-group type ... P4/mmm (123)
&SYSTEM
  ibrav = 0, nat = 5, ntyp = 4
/
ATOMIC_SPECIES
Ga 69.72 Ga.upf
Se 78.96 Se.upf
N 14.01 N.upf
F 19.00 F.upf
ATOMIC_POSITIONS crystal
Ga 0.000 0.000 0.000
Se 0.500 0.500 0.500
N 0.500 0.500 0.000
F 0.000 0.500 0.500
F 0.500 0.000 0.500
CELL_PARAMETERS angstrom
4.633 0.000 0.000
0.000 4.633 0.000
0.000 0.000 3.674

Run x
! GaSeNF2, optimized geometry, DFT PBE-GGA; values from VASP
! Density of states at the Fermi level ... 1.75 states/eV/f.u.
! M_tot ... 0.14 μB per atom
! Space-group type ... P4/mmm (123)
&SYSTEM
  ibrav = 0, nat = 5, ntyp = 4
/
ATOMIC_SPECIES
Ga 69.72 Ga.upf
Se 78.96 Se.upf
N 14.01 N.upf
F 19.00 F.upf
ATOMIC_POSITIONS crystal
Ga 0.000 0.000 0.000
Se 0.500 0.500 0.500
N 0.000 0.000 0.500
F 0.000 0.500 0.000
F 0.500 0.000 0.000
CELL_PARAMETERS angstrom
3.821 0.000 0.000
0.000 3.821 0.000
0.000 0.000 4.277

Verdict on stability: run x comes out on top.